A plane-wave DFT calculation with PBE was carried out for a relaxed Ti3NiIr crystal.

Calculated values
The value obtained for the energy above the most stable polymorph in this dataset is 0 meV per atom. The total magnetic moment comes out at 0.00 μB/cell. The symmetry is No. 221. The calculation puts the density at 7.60 Mg/m³. Its formation energy is 317 meV per atom. As for the volume: 17.2 A^3/atom.

Geometry as POSCAR:
```
Ti3NiIr
1.0
4.417 0.000 0.000
0.000 4.417 0.000
0.000 0.000 4.417
Ti Ni Ir
3 1 1
direct
0.000 0.000 0.500 Ti
0.000 0.500 0.000 Ti
0.500 0.000 0.000 Ti
0.000 0.000 0.000 Ni
0.500 0.500 0.500 Ir
```